# AlTc2Cl | Alexandria | PBE | optimized geometry
data_AlTc2Cl
_cell_length_a 2.8648
_cell_length_b 2.8648
_cell_length_c 25.1562
_cell_angle_alpha 90.00
_cell_angle_beta 90.00
_cell_angle_gamma 120.00
_symmetry_space_group_name_H-M 'R -3 m'
_symmetry_Int_Tables_number 166
_symmetry_space_group_name_Hall '-R 3 2"'
loop_
_atom_site_label
_atom_site_type_symbol
_atom_site_fract_x
_atom_site_fract_y
_atom_site_fract_z
Al1 Al 0.0000 0.0000 0.0000
Tc1 Tc 0.0000 0.0000 0.2489
Cl1 Cl 0.0000 0.0000 0.5000
# Uncorrected energy (Ry/atom): -0.4668
# Density (Mg/m³): 7.2
# Crystal system: trigonal
# Distance to the lowest polymorph of the same formula (kJ/mol of atoms): 30.3
# Size of the total moment (μB/atom): 0.228
# Formation energy from raw total energies (eV per atom): 0.23